The following is a PBE calculation of a geometry-optimized Sr2ZnHPd6 structure, from Alexandria via LeMat-Bulk.

- E (eV/cell) = -43.8

Cell: 6.3400 6.3400 6.1953 Å, 119.15 119.15 90.14°
Atoms (fractional coordinates):
Sr 0.2408 0.7592 0.0000
Sr 0.7592 0.2408 0.0000
Zn 0.0000 0.0000 0.5000
H 0.5000 0.5000 0.5000
Pd 0.2751 0.7249 0.5000
Pd 0.2830 0.2830 0.0485
Pd 0.2834 0.2834 0.5171
Pd 0.7166 0.7166 0.4829
Pd 0.7170 0.7170 0.9515
Pd 0.7249 0.2751 0.5000